1.
Density functional theory data (PBE) for an optimized crystal structure of Th2ZnOs.

Values from the calculation:
The volume comes out at 195.7 Å³/cell. The electronic total energy comes out at -57.3 eV per cell.

Cell: 6.043 4.364 7.951 Å, 90.00 111.07 90.00°
Atoms (fractional coordinates):
Th 0.216 0.250 0.443
Th 0.227 0.250 0.918
Th 0.773 0.750 0.082
Th 0.784 0.750 0.557
Zn 0.344 0.750 0.212
Zn 0.656 0.250 0.788
Os 0.326 0.750 0.712
Os 0.674 0.250 0.288


2.
Density functional theory data (PBE) for an optimized crystal structure of Pm3Pr5Dy4.

Values from the calculation:
The volume comes out at 409.5 Å³/cell. The energy above the most stable polymorph in this dataset is 0 meV/atom.

Cell: 6.311 7.273 8.922 Å, 89.92 89.95 89.96°
Atoms (fractional coordinates):
Pm 0.000 0.000 0.000
Pm 0.166 0.747 0.336
Pm 0.834 0.253 0.664
Pr 0.000 0.500 0.000
Pr 0.332 0.000 0.664
Pr 0.499 0.252 0.000
Pr 0.501 0.748 0.000
Pr 0.668 0.000 0.336
Dy 0.167 0.253 0.335
Dy 0.334 0.501 0.663
Dy 0.666 0.499 0.337
Dy 0.833 0.747 0.665


3.
Density functional theory data (PBE) for an optimized crystal structure of Na2TeH3.

Values from the calculation:
The volume comes out at 216.1 Å³/cell. The electronic total energy comes out at -34.5 eV per cell.

Cell: 6.293 6.293 5.636 Å, 90.26 90.26 104.41°
Atoms (fractional coordinates):
Na 0.075 0.329 0.251
Na 0.329 0.075 0.751
Na 0.671 0.925 0.249
Na 0.925 0.671 0.749
Te 0.166 0.834 0.250
Te 0.834 0.166 0.750
H 0.460 0.540 0.750
H 0.479 0.521 0.579
H 0.479 0.521 0.921
H 0.521 0.479 0.079
H 0.521 0.479 0.421
H 0.540 0.460 0.250


4.
Density functional theory data (PBE) for an optimized crystal structure of PrVSb2.

Values from the calculation:
The volume comes out at 110.4 Å³/cell. The uncorrected formation energy is 0.23 eV/atom.

Cell: 11.036 11.036 11.036 Å, 17.86 17.86 17.86°
Atoms (fractional coordinates):
Pr 0.000 0.000 0.000
V 0.500 0.500 0.500
Sb 0.417 0.417 0.417
Sb 0.583 0.583 0.583


5.
Density functional theory data (PBE) for an optimized crystal structure of La5Nd3Th2.

Values from the calculation:
The volume comes out at 709.8 Å³/cell. The electronic total energy comes out at -104.1 eV per cell.

Cell: 9.218 9.218 10.306 Å, 109.72 109.72 104.13°
Atoms (fractional coordinates):
La 0.011 0.989 0.750
La 0.123 0.376 0.753
La 0.221 0.779 0.750
La 0.376 0.123 0.253
La 0.473 0.527 0.250
La 0.527 0.473 0.750
La 0.624 0.877 0.747
La 0.779 0.221 0.250
La 0.877 0.624 0.247
La 0.989 0.011 0.250
Nd 0.225 0.475 0.449
Nd 0.264 0.736 0.250
Nd 0.475 0.225 0.949
Nd 0.525 0.775 0.051
Nd 0.736 0.264 0.750
Nd 0.775 0.525 0.551
Th 0.032 0.281 0.063
Th 0.281 0.032 0.563
Th 0.719 0.968 0.437
Th 0.968 0.719 0.937


6.
Density functional theory data (PBE) for an optimized crystal structure of AcNbO2.

Values from the calculation:
The volume comes out at 71.4 Å³/cell. The uncorrected formation energy is -1.75 eV/atom.

Cell: 6.641 6.641 6.641 Å, 31.61 31.61 31.61°
Atoms (fractional coordinates):
Ac 0.000 0.000 0.000
Nb 0.500 0.500 0.500
O 0.130 0.130 0.130
O 0.870 0.870 0.870


7.
Density functional theory data (PBE) for an optimized crystal structure of Sc4CrAs.

Values from the calculation:
The volume comes out at 134.4 Å³/cell. The electronic total energy comes out at -37.0 eV per cell.

Cell: 5.749 5.749 5.749 Å, 60.00 60.00 60.00°
Atoms (fractional coordinates):
Sc 0.376 0.376 0.376
Sc 0.376 0.376 0.873
Sc 0.376 0.873 0.376
Sc 0.873 0.376 0.376
Cr 0.750 0.750 0.750
As 0.000 0.000 0.000


8.
Density functional theory data (PBE) for an optimized crystal structure of Cs2HgAuF6.

Values from the calculation:
The volume comes out at 212.5 Å³/cell. The uncorrected formation energy is -1.85 eV/atom.

Cell: 6.779 6.779 6.779 Å, 122.20 122.20 86.23°
Atoms (fractional coordinates):
Cs 0.250 0.750 0.500
Cs 0.750 0.250 0.500
Hg 0.000 0.000 0.000
Au 0.500 0.500 0.000
F 0.213 0.213 0.000
F 0.270 0.270 0.540
F 0.270 0.730 0.000
F 0.730 0.270 0.000
F 0.730 0.730 0.460
F 0.787 0.787 0.000


9.
Density functional theory data (PBE) for an optimized crystal structure of HoTiCu2.

Values from the calculation:
The volume comes out at 70.7 Å³/cell. The energy above the most stable polymorph in this dataset is 55 meV/atom.

Cell: 4.641 4.641 4.641 Å, 60.00 60.00 60.00°
Atoms (fractional coordinates):
Ho 0.000 0.000 0.000
Ti 0.500 0.500 0.500
Cu 0.250 0.250 0.250
Cu 0.750 0.750 0.750


10.
Density functional theory data (PBE) for an optimized crystal structure of Hg5Au.

Values from the calculation:
The volume comes out at 152.1 Å³/cell. The energy above the most stable polymorph in this dataset is 40 meV/atom.

Cell: 6.397 6.397 4.682 Å, 90.00 90.00 127.46°
Atoms (fractional coordinates):
Hg 0.000 0.000 0.000
Hg 0.169 0.831 0.500
Hg 0.347 0.653 0.000
Hg 0.653 0.347 0.000
Hg 0.831 0.169 0.500
Au 0.500 0.500 0.500


11.
Density functional theory data (PBE) for an optimized crystal structure of KLiAsN2.

Values from the calculation:
The volume comes out at 90.9 Å³/cell. The uncorrected formation energy is 1.34 eV/atom.

Cell: 4.040 4.040 5.570 Å, 90.00 90.00 90.00°
Atoms (fractional coordinates):
K 0.000 0.000 0.000
Li 0.500 0.500 0.000
As 0.000 0.000 0.500
N 0.000 0.500 0.500
N 0.500 0.000 0.500


12.
Density functional theory data (PBE) for an optimized crystal structure of FePtS2N.

Values from the calculation:
The volume comes out at 70.3 Å³/cell. The uncorrected formation energy is 0.56 eV/atom. The energy above the most stable polymorph in this dataset is 0 meV/atom.

Cell: 4.587 4.587 3.343 Å, 90.00 90.00 90.00°
Atoms (fractional coordinates):
Fe 0.000 0.000 0.000
Pt 0.500 0.500 0.500
S 0.000 0.500 0.000
S 0.500 0.000 0.000
N 0.000 0.000 0.500


13.
Density functional theory data (PBE) for an optimized crystal structure of Cd2SeCl.

Values from the calculation:
The volume comes out at 104.1 Å³/cell. The uncorrected formation energy is -0.37 eV/atom. The energy above the most stable polymorph in this dataset is 145 meV/atom.

Cell: 5.467 5.467 5.467 Å, 136.15 104.52 91.61°
Atoms (fractional coordinates):
Cd 0.243 0.243 0.000
Cd 0.757 0.757 0.000
Se 0.000 0.500 0.500
Cl 0.500 0.000 0.500


14.
Density functional theory data (PBE) for an optimized crystal structure of CaZnSnF6.

Values from the calculation:
The volume comes out at 143.3 Å³/cell. The uncorrected formation energy is -2.80 eV/atom.

Cell: 5.703 5.703 5.088 Å, 90.00 90.00 120.00°
Atoms (fractional coordinates):
Ca 0.000 0.000 0.000
Zn 0.333 0.667 0.000
Sn 0.667 0.333 0.500
F 0.030 0.358 0.224
F 0.030 0.671 0.776
F 0.329 0.358 0.776
F 0.329 0.970 0.224
F 0.642 0.671 0.224
F 0.642 0.970 0.776


15.
Density functional theory data (PBE) for an optimized crystal structure of ReAsSe2.

Values from the calculation:
The volume comes out at 68.2 Å³/cell. The uncorrected formation energy is 0.77 eV/atom.

Cell: 4.587 4.587 4.587 Å, 60.00 60.00 60.00°
Atoms (fractional coordinates):
Re 0.000 0.000 0.000
As 0.750 0.750 0.750
Se 0.250 0.250 0.250
Se 0.500 0.500 0.500


16.
Density functional theory data (PBE) for an optimized crystal structure of Pr2Zn3Au.

Values from the calculation:
The volume comes out at 141.4 Å³/cell. The energy above the most stable polymorph in this dataset is 46 meV/atom.

Cell: 8.411 8.411 8.411 Å, 151.48 150.07 41.81°
Atoms (fractional coordinates):
Pr 0.000 0.000 0.000
Pr 0.748 0.248 0.500
Zn 0.171 0.671 0.500
Zn 0.331 0.831 0.500
Zn 0.414 0.414 0.000
Au 0.581 0.581 0.000


17.
Density functional theory data (PBE) for an optimized crystal structure of Mg2Tl2Pb3.

Values from the calculation:
The volume comes out at 199.4 Å³/cell. The electronic total energy comes out at -19.1 eV per cell.

Cell: 16.540 16.540 3.474 Å, 90.00 90.00 167.89°
Atoms (fractional coordinates):
Mg 0.144 0.856 0.000
Mg 0.856 0.144 0.000
Tl 0.293 0.707 0.500
Tl 0.707 0.293 0.500
Pb 0.000 0.000 0.000
Pb 0.422 0.578 0.500
Pb 0.578 0.422 0.500


18.
Density functional theory data (PBE) for an optimized crystal structure of TiTlZnF6.

Values from the calculation:
The volume comes out at 315.3 Å³/cell. The uncorrected formation energy is -2.65 eV/atom.

Cell: 5.549 5.549 11.823 Å, 90.00 90.00 120.00°
Atoms (fractional coordinates):
Ti 0.333 0.667 0.250
Ti 0.667 0.333 0.750
Tl 0.000 0.000 0.000
Tl 0.000 0.000 0.500
Zn 0.333 0.667 0.750
Zn 0.667 0.333 0.250
F 0.010 0.390 0.158
F 0.010 0.620 0.342
F 0.380 0.390 0.342
F 0.380 0.990 0.158
F 0.390 0.010 0.658
F 0.390 0.380 0.842
F 0.610 0.620 0.158
F 0.610 0.990 0.342
F 0.620 0.010 0.842
F 0.620 0.610 0.658
F 0.990 0.380 0.658
F 0.990 0.610 0.842


19.
Density functional theory data (PBE) for an optimized crystal structure of Y2AlHg.

Values from the calculation:
The volume comes out at 100.1 Å³/cell. The energy above the most stable polymorph in this dataset is 20 meV/atom.

Cell: 5.211 5.211 5.211 Å, 60.00 60.00 60.00°
Atoms (fractional coordinates):
Y 0.250 0.250 0.250
Y 0.750 0.750 0.750
Al 0.000 0.000 0.000
Hg 0.500 0.500 0.500


20.
Density functional theory data (PBE) for an optimized crystal structure of Na3Dy2TeS6.

Values from the calculation:
The volume comes out at 281.7 Å³/cell. The uncorrected formation energy is -1.28 eV/atom.

Cell: 7.035 7.035 7.030 Å, 99.01 99.01 121.31°
Atoms (fractional coordinates):
Na 0.000 0.000 0.000
Na 0.339 0.661 0.000
Na 0.661 0.339 0.000
Dy 0.170 0.830 0.500
Dy 0.830 0.170 0.500
Te 0.500 0.500 0.500
S 0.075 0.423 0.266
S 0.243 0.243 0.717
S 0.423 0.075 0.266
S 0.577 0.925 0.734
S 0.757 0.757 0.283
S 0.925 0.577 0.734


21.
Density functional theory data (PBE) for an optimized crystal structure of SmFe5.

Values from the calculation:
The volume comes out at 85.7 Å³/cell. The electronic total energy comes out at -45.5 eV per cell.

Cell: 5.354 5.354 4.137 Å, 90.00 90.00 133.75°
Atoms (fractional coordinates):
Sm 0.000 0.000 0.000
Fe 0.190 0.810 0.500
Fe 0.318 0.682 0.000
Fe 0.500 0.500 0.500
Fe 0.682 0.318 0.000
Fe 0.810 0.190 0.500


22.
Density functional theory data (PBE) for an optimized crystal structure of Er2WC.

Values from the calculation:
The volume comes out at 80.6 Å³/cell. The electronic total energy comes out at -28.7 eV per cell.

Cell: 8.805 8.805 8.805 Å, 21.53 21.53 21.53°
Atoms (fractional coordinates):
Er 0.113 0.113 0.113
Er 0.887 0.887 0.887
W 0.000 0.000 0.000
C 0.500 0.500 0.500


23.
Density functional theory data (PBE) for an optimized crystal structure of ScZnN3.

Values from the calculation:
The volume comes out at 54.2 Å³/cell. The uncorrected formation energy is 0.89 eV/atom.

Cell: 3.785 3.785 3.785 Å, 90.00 90.00 90.00°
Atoms (fractional coordinates):
Sc 0.000 0.000 0.000
Zn 0.500 0.500 0.500
N 0.000 0.500 0.500
N 0.500 0.000 0.500
N 0.500 0.500 0.000


24.
Density functional theory data (PBE) for an optimized crystal structure of Pa3Ga6Pd2.

Values from the calculation:
The volume comes out at 232.6 Å³/cell. The electronic total energy comes out at -60.0 eV per cell.

Cell: 14.851 14.851 14.851 Å, 164.54 164.54 21.93°
Atoms (fractional coordinates):
Pa 0.000 0.000 0.000
Pa 0.166 0.166 0.000
Pa 0.834 0.834 0.000
Ga 0.079 0.579 0.500
Ga 0.268 0.268 0.000
Ga 0.421 0.921 0.500
Ga 0.579 0.079 0.500
Ga 0.732 0.732 0.000
Ga 0.921 0.421 0.500
Pd 0.356 0.356 0.000
Pd 0.644 0.644 0.000


25.
Density functional theory data (PBE) for an optimized crystal structure of Er5Bi6Pb.

Values from the calculation:
The volume comes out at 386.5 Å³/cell. The electronic total energy comes out at -57.1 eV per cell.

Cell: 7.795 7.795 7.801 Å, 99.63 99.63 120.07°
Atoms (fractional coordinates):
Er 0.000 0.000 0.000
Er 0.170 0.830 0.500
Er 0.339 0.661 0.000
Er 0.661 0.339 0.000
Er 0.830 0.170 0.500
Bi 0.070 0.413 0.243
Bi 0.239 0.239 0.752
Bi 0.413 0.070 0.243
Bi 0.587 0.930 0.757
Bi 0.761 0.761 0.248
Bi 0.930 0.587 0.757
Pb 0.500 0.500 0.500